[1]
AcNdEuEr | PBE-GGA | relaxed

## Properties
ΔE_f   121 meV per atom
Total magnetic moment   1.90 μB per atom

Unit cell a=5.971 b=5.971 c=5.971 alpha=60.00 beta=60.00 gamma=60.00
Each line ends with the local moment (μB).
Atoms (fractional coordinates):
Ac  0.750  0.750  0.750  0.05
Eu  0.000  0.000  0.000  6.87
Er  0.500  0.500  0.500  0.09
Nd  0.250  0.250  0.250  0.09

[2]
AcPmEuEr | PBE-GGA | relaxed

## Properties
ΔE_f   127 meV per atom
Total magnetic moment   1.91 μB per atom

Unit cell a=5.960 b=5.960 c=5.960 alpha=60.00 beta=60.00 gamma=60.00
Each line ends with the local moment (μB).
Atoms (fractional coordinates):
Er  0.500  0.500  0.500  0.10
Eu  0.000  0.000  0.000  6.87
Ac  0.250  0.250  0.250  0.06
Pm  0.750  0.750  0.750  0.10

[3]
AcSmEuEr | PBE-GGA | relaxed

## Properties
ΔE_f   132 meV per atom
Total magnetic moment   1.92 μB per atom

Unit cell a=5.951 b=5.951 c=5.951 alpha=60.00 beta=60.00 gamma=60.00
Each line ends with the local moment (μB).
Atoms (fractional coordinates):
Ac  0.750  0.750  0.750  0.06
Sm  0.250  0.250  0.250  0.10
Er  0.000  0.000  0.000  0.11
Eu  0.500  0.500  0.500  6.87

[4]
AcEuErTl | PBE-GGA | relaxed

## Properties
ΔE_f   45 meV per atom
Total magnetic moment   2.06 μB per atom

Unit cell a=5.730 b=5.730 c=5.730 alpha=60.00 beta=60.00 gamma=60.00
Each line ends with the local moment (μB).
Atoms (fractional coordinates):
Ac  0.500  0.500  0.500  0.21
Eu  0.250  0.250  0.250  6.94
Tl  0.000  0.000  0.000  -0.01
Er  0.750  0.750  0.750  0.31

- Among the records above, which one has the highest ΔE_f?
  AcSmEuEr